A plane-wave DFT calculation with PBE-GGA was carried out for an optimized crystal structure of Sc2OsW.

a = 7.5221 Å, b = 7.5221 Å, c = 5.9642 Å
α = 50.91°, β = 50.91°, γ = 90.00°
With the nearest neighbours (Å) after each atom.
Fractional positions:
Sc (0.6574, 0.1250, 0.2500)  2 Os 2.58, 2 Sc 2.74
Sc (0.3750, 0.3426, 0.7500)  2 Os 2.58, 2 Sc 2.74
Sc (0.8750, 0.9074, 0.7500)  2 Os 2.58, 2 Sc 2.74
Sc (0.0925, 0.6250, 0.2500)  2 Os 2.58, 2 Sc 2.74
Os (0.7500, 0.2500, 0.5000)  4 Sc 2.58, 2 W 2.70
Os (0.0000, 0.0000, 0.0000)  4 Sc 2.58, 2 W 2.70
W (0.5000, 0.5000, 0.0000)  2 Os 2.70, 4 Sc 2.92
W (0.2500, 0.7500, 0.5000)  2 Os 2.70, 4 Sc 2.92

Output
* relative energy among the computed polymorphs: 695 meV/atom
* E_form: 0.592 eV/atom

---

A plane-wave DFT calculation with PBE-GGA was carried out for an optimized crystal structure of Sc4OsW.

a = 5.4093 Å, b = 5.4093 Å, c = 5.4093 Å
α = 60.00°, β = 60.00°, γ = 60.00°
With the nearest neighbours (Å) after each atom.
Fractional positions:
Sc (0.3750, 0.3750, 0.8749)  6 Sc 2.70-2.71
Sc (0.3750, 0.8749, 0.3750)  6 Sc 2.70-2.71
Sc (0.3750, 0.3750, 0.3750)  6 Sc 2.70-2.71
Sc (0.8749, 0.3750, 0.3750)  6 Sc 2.70-2.71
W (0.7500, 0.7500, 0.7500)  12 Sc 3.17, 4 Os 3.31
Os (0.0000, 0.0000, 0.0000)  12 Sc 3.17, 4 W 3.31

Output
* E_form: 0.704 eV/atom

---

A plane-wave DFT calculation with PBE-GGA was carried out for an optimized crystal structure of ScOsW2.

a = 4.4941 Å, b = 4.4941 Å, c = 4.4941 Å
α = 60.00°, β = 60.00°, γ = 60.00°
With the nearest neighbours (Å) after each atom.
Fractional positions:
Sc (0.0000, 0.0000, 0.0000)  8 W 2.75
Os (0.5000, 0.5000, 0.5000)  8 W 2.75
W (0.7500, 0.7500, 0.7500)  4 Os 2.75, 4 Sc 2.75
W (0.2500, 0.2500, 0.2500)  4 Os 2.75, 4 Sc 2.75

Output
* relative energy among the computed polymorphs: 222 meV/atom
* E_form: 0.148 eV/atom

---

A plane-wave DFT calculation with PBE-GGA was carried out for an optimized crystal structure of ScOsW2.

a = 5.2272 Å, b = 5.2272 Å, c = 2.7821 Å
α = 90.00°, β = 90.00°, γ = 119.38°
With the nearest neighbours (Å) after each atom.
Fractional positions:
Sc (0.0000, 0.5000, 0.5000)  2 Os 2.64, 2 Sc 2.78
W (0.5000, 0.5000, 0.0000)  4 W 2.64-2.78
W (0.0000, 0.0000, 0.0000)  4 W 2.64-2.78
Os (0.5000, 0.0000, 0.5000)  2 Sc 2.64, 2 Os 2.78

Output
* relative energy among the computed polymorphs: 349 meV/atom
* E_form: 0.275 eV/atom

---

A plane-wave DFT calculation with PBE-GGA was carried out for an optimized crystal structure of ScOsW2.

a = 4.4419 Å, b = 2.8252 Å, c = 5.2710 Å
α = 80.02°, β = 90.00°, γ = 90.00°
With the nearest neighbours (Å) after each atom.
Fractional positions:
Os (0.0000, 0.4888, 0.5022)  2 Sc 2.73, 4 W 2.74-2.80, 2 Os 2.83
W (0.5000, 0.2394, 0.2498)  4 W 2.70-2.83, 2 Sc 2.74-2.80, 2 Os 2.74
W (0.0000, 0.0240, 0.0028)  4 W 2.70-2.83, 2 Os 2.74-2.80, 2 Sc 2.78
Sc (0.5000, 0.7477, 0.7452)  2 Os 2.73, 4 W 2.74-2.80, 2 Sc 2.83

Output
* relative energy among the computed polymorphs: 126 meV/atom
* E_form: 0.052 eV/atom

---

A plane-wave DFT calculation with PBE-GGA was carried out for an optimized crystal structure of ScOsW2.

a = 9.4692 Å, b = 9.4692 Å, c = 9.4692 Å
α = 17.47°, β = 17.47°, γ = 17.47°
With the nearest neighbours (Å) after each atom.
Fractional positions:
W (0.2462, 0.2462, 0.2462)  3 Os 2.70, 9 W 2.88-2.90
W (0.9979, 0.9979, 0.9979)  9 W 2.88-2.90, 3 Sc 2.96
Sc (0.7524, 0.7524, 0.7524)  6 Sc 2.88, 3 Os 2.89, 3 W 2.96
Os (0.5035, 0.5035, 0.5035)  3 W 2.70, 6 Os 2.88, 3 Sc 2.89

Output
* relative energy among the computed polymorphs: 346 meV/atom
* E_form: 0.272 eV/atom

---

A plane-wave DFT calculation with PBE-GGA was carried out for an optimized crystal structure of Sc2OsW.

a = 9.9512 Å, b = 9.9512 Å, c = 9.9512 Å
α = 16.91°, β = 16.91°, γ = 16.91°
With the nearest neighbours (Å) after each atom.
Fractional positions:
Sc (0.0852, 0.0852, 0.0852)  1 Os 2.51
Sc (0.9148, 0.9148, 0.9148)  1 Os 2.51
W (0.5000, 0.5000, 0.5000)  6 W 2.93, 6 Sc 2.93
Os (0.0000, 0.0000, 0.0000)  2 Sc 2.51

Output
* relative energy among the computed polymorphs: 642 meV/atom
* E_form: 0.540 eV/atom

---

A plane-wave DFT calculation with PBE-GGA was carried out for an optimized crystal structure of Sc3OsW.

a = 4.8760 Å, b = 4.8760 Å, c = 4.8760 Å
α = 90.00°, β = 90.00°, γ = 90.00°
With the nearest neighbours (Å) after each atom.
Fractional positions:
Sc (0.0000, 0.0000, 0.5000)  2 W 2.44
Sc (0.5000, 0.0000, 0.0000)  2 W 2.44
Sc (0.0000, 0.5000, 0.0000)  2 W 2.44
W (0.0000, 0.0000, 0.0000)  6 Sc 2.44
Os (0.5000, 0.5000, 0.5000)  12 Sc 3.45

Output
* relative energy among the computed polymorphs: 472 meV/atom
* E_form: 1.274 eV/atom

---

A plane-wave DFT calculation with PBE-GGA was carried out for an optimized crystal structure of ScOsW3.

a = 4.5019 Å, b = 4.5019 Å, c = 4.5019 Å
α = 90.00°, β = 90.00°, γ = 90.00°
With the nearest neighbours (Å) after each atom.
Fractional positions:
Sc (0.0000, 0.0000, 0.0000)  6 W 2.25
W (0.0000, 0.0000, 0.5000)  2 Sc 2.25
W (0.5000, 0.0000, 0.0000)  2 Sc 2.25
W (0.0000, 0.5000, 0.0000)  2 Sc 2.25
Os (0.5000, 0.5000, 0.5000)  12 W 3.18

Output
* relative energy among the computed polymorphs: 1109 meV/atom
* E_form: 2.637 eV/atom

---

A plane-wave DFT calculation with PBE-GGA was carried out for an optimized crystal structure of ScOs2W.

a = 5.1629 Å, b = 5.1629 Å, c = 5.1629 Å
α = 136.59°, β = 136.59°, γ = 63.07°
With the nearest neighbours (Å) after each atom.
Fractional positions:
W (0.7500, 0.2500, 0.5000)  8 Os 2.70-2.91, 4 Sc 2.91
Sc (0.5000, 0.5000, 0.0000)  8 Os 2.70-2.91, 4 W 2.91
Os (0.2500, 0.7500, 0.5000)  4 W 2.70, 4 Os 2.91, 4 Sc 2.91
Os (0.0000, 0.0000, 0.0000)  4 Sc 2.70, 4 Os 2.91, 4 W 2.91

Output
* E_form: 0.123 eV/atom

---

A plane-wave DFT calculation with PBE-GGA was carried out for an optimized crystal structure of ScOsW2.

a = 2.8648 Å, b = 2.8648 Å, c = 8.2706 Å
α = 90.00°, β = 90.00°, γ = 90.04°
With the nearest neighbours (Å) after each atom.
Fractional positions:
Os (0.5000, 0.5000, 0.2500)  8 W 2.73-2.74, 4 Os 2.86
W (0.0000, 0.0000, 0.0278)  4 Os 2.73-2.74, 4 W 2.86
W (0.0000, 0.0000, 0.4722)  4 Os 2.73-2.74, 4 W 2.86
Sc (0.5000, 0.5000, 0.7500)  4 Sc 2.86, 8 W 3.06

Output
* relative energy among the computed polymorphs: 277 meV/atom
* E_form: 0.203 eV/atom

---

A plane-wave DFT calculation with PBE-GGA was carried out for an optimized crystal structure of ScOsW2.

a = 5.2637 Å, b = 5.2637 Å, c = 2.8145 Å
α = 80.39°, β = 80.39°, γ = 118.14°
With the nearest neighbours (Å) after each atom.
Fractional positions:
Sc (0.0000, 0.5000, 0.5000)  2 Os 2.71, 4 W 2.77, 2 Sc 2.81
W (0.0000, 0.0000, 0.0000)  4 W 2.71-2.81, 2 Sc 2.77, 2 Os 2.77
W (0.5000, 0.5000, 0.0000)  4 W 2.71-2.81, 2 Os 2.77, 2 Sc 2.77
Os (0.5000, 0.0000, 0.5000)  2 Sc 2.71, 4 W 2.77, 2 Os 2.81

Output
* relative energy among the computed polymorphs: 138 meV/atom
* E_form: 0.064 eV/atom

---

A plane-wave DFT calculation with PBE-GGA was carried out for an optimized crystal structure of Sc2OsW.

a = 4.6234 Å, b = 4.6234 Å, c = 4.6234 Å
α = 60.00°, β = 60.00°, γ = 60.00°
With the nearest neighbours (Å) after each atom.
Fractional positions:
Os (0.5000, 0.5000, 0.5000)  8 Sc 2.83
Sc (0.7500, 0.7500, 0.7500)  4 W 2.83, 4 Os 2.83
Sc (0.2500, 0.2500, 0.2500)  4 Os 2.83, 4 W 2.83
W (0.0000, 0.0000, 0.0000)  8 Sc 2.83

Output
* relative energy among the computed polymorphs: 311 meV/atom
* E_form: 0.209 eV/atom

---

A plane-wave DFT calculation with PBE-GGA was carried out for an optimized crystal structure of ScOs2W.

a = 9.0680 Å, b = 9.0680 Å, c = 9.0680 Å
α = 18.31°, β = 18.31°, γ = 18.31°
With the nearest neighbours (Å) after each atom.
Fractional positions:
Os (0.4970, 0.4970, 0.4970)  3 W 2.72, 3 Sc 2.85, 6 Os 2.88
Os (0.0030, 0.0030, 0.0030)  3 W 2.72, 3 Sc 2.85, 6 Os 2.88
Sc (0.2500, 0.2500, 0.2500)  6 Os 2.85, 6 Sc 2.88
W (0.7500, 0.7500, 0.7500)  6 Os 2.72, 6 W 2.88

Output
* E_form: 0.141 eV/atom

---

A plane-wave DFT calculation with PBE-GGA was carried out for an optimized crystal structure of Sc2OsW.

a = 3.0593 Å, b = 3.0593 Å, c = 8.3770 Å
α = 90.00°, β = 90.00°, γ = 90.00°
With the nearest neighbours (Å) after each atom.
Fractional positions:
Sc (0.0000, 0.0000, 0.9401)  4 Os 2.84, 4 Sc 3.06
Sc (0.5000, 0.5000, 0.3002)  4 W 2.95, 4 Sc 3.06
W (0.0000, 0.0000, 0.5394)  4 Os 2.64, 4 Sc 2.95
Os (0.5000, 0.5000, 0.7203)  4 W 2.64, 4 Sc 2.84

Output
* relative energy among the computed polymorphs: 0 meV/atom
* E_form: -0.102 eV/atom